1.
{"formula": "CeNdIn4", "functional": "GGA-PBE", "state": "optimized geometry", "space_group": "F-43m, No. 216", "total_energy_ev_per_atom": -3.98, "cell": [[0.000, 4.310, 4.310], [4.310, 0.000, 4.310], [4.310, 4.310, 0.000]], "species": ["Ce", "Nd", "In", "In", "In", "In"], "fractional_positions": [[0.000, 0.000, 0.000], [0.250, 0.250, 0.250], [0.125, 0.625, 0.625], [0.625, 0.125, 0.625], [0.625, 0.625, 0.125], [0.625, 0.625, 0.625]]}

***

2.
{"formula": "TbPm3Cd8", "functional": "GGA-PBE", "state": "optimized geometry", "space_group": "P3m1, No. 156", "total_energy_ev_per_atom": -2.47, "cell": [[6.048, 0.000, 0.000], [-3.024, 5.237, 0.000], [0.000, 0.000, 9.464]], "species": ["Tb", "Pm", "Pm", "Pm", "Cd", "Cd", "Cd", "Cd", "Cd", "Cd", "Cd", "Cd"], "fractional_positions": [[0.000, 0.000, 0.000], [0.000, 0.000, 0.382], [0.667, 0.333, 0.502], [0.667, 0.333, 0.885], [0.162, 0.325, 0.694], [0.162, 0.838, 0.694], [0.333, 0.667, 0.443], [0.333, 0.667, 0.942], [0.504, 0.008, 0.192], [0.504, 0.496, 0.192], [0.675, 0.838, 0.694], [0.992, 0.496, 0.192]]}

***

3.
{"formula": "Al3TcPd", "functional": "GGA-PBE", "state": "optimized geometry", "space_group": "Pm-3m, No. 221", "total_energy_ev_per_atom": -5.06, "cell": [[4.659, 0.000, 0.000], [0.000, 4.659, 0.000], [0.000, 0.000, 4.659]], "species": ["Al", "Al", "Al", "Tc", "Pd"], "fractional_positions": [[0.000, 0.000, 0.500], [0.000, 0.500, 0.000], [0.500, 0.000, 0.000], [0.000, 0.000, 0.000], [0.500, 0.500, 0.500]]}

***

4.
{"formula": "ErTm8Bi6", "functional": "GGA-PBE", "state": "optimized geometry", "space_group": "R-3, No. 148", "total_energy_ev_per_atom": -4.69, "cell": [[3.765, 2.174, 9.812], [-3.765, 2.174, 9.812], [0.000, -4.348, 9.812]], "species": ["Er", "Tm", "Tm", "Tm", "Tm", "Tm", "Tm", "Tm", "Tm", "Bi", "Bi", "Bi", "Bi", "Bi", "Bi"], "fractional_positions": [[0.000, 0.000, 0.000], [0.122, 0.790, 0.455], [0.210, 0.545, 0.878], [0.333, 0.333, 0.333], [0.455, 0.122, 0.790], [0.545, 0.878, 0.210], [0.667, 0.667, 0.667], [0.790, 0.455, 0.122], [0.878, 0.210, 0.545], [0.062, 0.396, 0.728], [0.272, 0.938, 0.604], [0.396, 0.728, 0.062], [0.604, 0.272, 0.938], [0.728, 0.062, 0.396], [0.938, 0.604, 0.272]]}

***

5.
{"formula": "MnWSe", "functional": "GGA-PBE", "state": "optimized geometry", "space_group": "P3m1, No. 156", "formation_energy_uncorrected_ev_per_atom": 0.32, "cell": [[3.101, 0.000, 0.000], [-1.551, 2.686, 0.000], [0.000, 0.000, 6.004]], "species": ["Mn", "W", "Se"], "fractional_positions": [[0.000, 0.000, 0.000], [0.333, 0.667, 0.669], [0.667, 0.333, 0.360]]}

***

6.
{"formula": "TaCuSb", "functional": "GGA-PBE", "state": "optimized geometry", "space_group": "P4/nmm, No. 129", "formation_energy_uncorrected_ev_per_atom": 0.64, "cell": [[4.122, 0.000, 0.000], [0.000, 4.122, 0.000], [0.000, 0.000, 6.715]], "species": ["Ta", "Ta", "Cu", "Cu", "Sb", "Sb"], "fractional_positions": [[0.250, 0.250, 0.186], [0.750, 0.750, 0.814], [0.250, 0.250, 0.817], [0.750, 0.750, 0.183], [0.250, 0.750, 0.500], [0.750, 0.250, 0.500]]}

***

7.
{"formula": "Sc3Ti", "functional": "GGA-PBE", "state": "optimized geometry", "space_group": "Pmm2, No. 25", "total_energy_ev_per_atom": -6.65, "cell": [[3.206, 0.000, 0.000], [0.000, 4.987, 0.000], [0.000, 0.000, 5.596]], "species": ["Sc", "Sc", "Sc", "Ti"], "fractional_positions": [[0.000, 0.000, 0.000], [0.000, 0.500, 0.336], [0.500, 0.500, 0.819], [0.500, 0.000, 0.499]]}

***

8.
{"formula": "Si2TcOs", "functional": "GGA-PBE", "state": "optimized geometry", "space_group": "C2/m, No. 12", "formation_energy_uncorrected_ev_per_atom": -0.19, "cell": [[3.942, -1.411, 0.000], [3.942, 1.411, 0.000], [-1.041, 0.000, 4.914]], "species": ["Si", "Si", "Tc", "Os"], "fractional_positions": [[0.248, 0.248, 0.235], [0.752, 0.752, 0.765], [0.000, 0.000, 0.500], [0.500, 0.500, 0.000]]}

***

9.
{"formula": "LiTmSnAu", "functional": "GGA-PBE", "state": "optimized geometry", "space_group": "F-43m, No. 216", "total_energy_ev_per_atom": -4.04, "cell": [[0.000, 3.490, 3.490], [3.490, 0.000, 3.490], [3.490, 3.490, 0.000]], "species": ["Li", "Tm", "Sn", "Au"], "fractional_positions": [[0.000, 0.000, 0.000], [0.500, 0.500, 0.500], [0.250, 0.250, 0.250], [0.750, 0.750, 0.750]]}

***

10.
{"formula": "NaHf2CrCd", "functional": "GGA-PBE", "state": "optimized geometry", "space_group": "P4/mmm, No. 123", "total_energy_ev_per_atom": -5.54, "cell": [[4.719, 0.000, 0.000], [0.000, 4.719, 0.000], [0.000, 0.000, 5.399]], "species": ["Na", "Hf", "Hf", "Cr", "Cd"], "fractional_positions": [[0.000, 0.000, 0.000], [0.000, 0.500, 0.500], [0.500, 0.000, 0.500], [0.000, 0.000, 0.500], [0.500, 0.500, 0.000]]}

***

11.
{"formula": "MgIn3Hg4", "functional": "GGA-PBE", "state": "optimized geometry", "space_group": "P4/mmm, No. 123", "total_energy_ev_per_atom": -1.41, "cell": [[3.309, 0.000, 0.000], [0.000, 3.309, 0.000], [0.000, 0.000, 18.306]], "species": ["Mg", "In", "In", "In", "Hg", "Hg", "Hg", "Hg"], "fractional_positions": [[0.000, 0.000, 0.000], [0.000, 0.000, 0.235], [0.000, 0.000, 0.500], [0.000, 0.000, 0.765], [0.500, 0.500, 0.106], [0.500, 0.500, 0.369], [0.500, 0.500, 0.631], [0.500, 0.500, 0.894]]}

***

12.
{"formula": "PmThBe2Si2", "functional": "GGA-PBE", "state": "optimized geometry", "space_group": "P-3m1, No. 164", "formation_energy_uncorrected_ev_per_atom": -0.64, "cell": [[3.935, 0.000, 0.000], [-1.967, 3.408, 0.000], [0.000, 0.000, 8.454]], "species": ["Pm", "Th", "Be", "Be", "Si", "Si"], "fractional_positions": [[0.000, 0.000, 0.000], [0.000, 0.000, 0.500], [0.333, 0.667, 0.250], [0.667, 0.333, 0.750], [0.333, 0.667, 0.752], [0.667, 0.333, 0.248]]}

***

13.
{"formula": "BeCdSb", "functional": "GGA-PBE", "state": "optimized geometry", "space_group": "P1, No. 1", "formation_energy_uncorrected_ev_per_atom": 0.19, "cell": [[4.151, 0.000, 0.000], [2.072, 3.646, 0.000], [0.005, 0.015, 4.807]], "species": ["Be", "Cd", "Sb"], "fractional_positions": [[0.000, 0.000, 0.000], [0.073, 0.836, 0.500], [0.671, 0.655, 0.000]]}

***

14.
{"formula": "SnHg2F", "functional": "GGA-PBE", "state": "optimized geometry", "space_group": "Fm-3m, No. 225", "formation_energy_uncorrected_ev_per_atom": -0.44, "cell": [[0.000, 3.545, 3.545], [3.545, 0.000, 3.545], [3.545, 3.545, 0.000]], "species": ["Sn", "Hg", "Hg", "F"], "fractional_positions": [[0.000, 0.000, 0.000], [0.250, 0.250, 0.250], [0.750, 0.750, 0.750], [0.500, 0.500, 0.500]]}

***

15.
{"formula": "Ba2NaScAs", "functional": "GGA-PBE", "state": "optimized geometry", "space_group": "P4/mmm, No. 123", "total_energy_ev_per_atom": -2.56, "cell": [[6.222, 0.000, 0.000], [0.000, 6.222, 0.000], [0.000, 0.000, 5.532]], "species": ["Ba", "Ba", "Na", "Sc", "As"], "fractional_positions": [[0.000, 0.500, 0.000], [0.500, 0.000, 0.000], [0.000, 0.000, 0.500], [0.000, 0.000, 0.000], [0.500, 0.500, 0.500]]}

***

16.
{"formula": "LaAl8Ni4", "functional": "GGA-PBE", "state": "optimized geometry", "space_group": "I4/mmm, No. 139", "total_energy_ev_per_atom": -5.02, "cell": [[-4.359, 4.359, 2.564], [4.359, -4.359, 2.564], [4.359, 4.359, -2.564]], "species": ["La", "Al", "Al", "Al", "Al", "Al", "Al", "Al", "Al", "Ni", "Ni", "Ni", "Ni"], "fractional_positions": [[0.000, 0.000, 0.000], [0.000, 0.346, 0.346], [0.000, 0.654, 0.654], [0.275, 0.500, 0.775], [0.346, 0.000, 0.346], [0.500, 0.275, 0.775], [0.500, 0.725, 0.225], [0.654, 0.000, 0.654], [0.725, 0.500, 0.225], [0.000, 0.000, 0.500], [0.000, 0.500, 0.000], [0.500, 0.000, 0.000], [0.500, 0.500, 0.500]]}

***

17.
{"formula": "DyNp2RhN4", "functional": "GGA-PBE", "state": "optimized geometry", "space_group": "Cmcm, No. 63", "formation_energy_uncorrected_ev_per_atom": -0.91, "cell": [[1.716, -5.630, 0.000], [1.716, 5.630, 0.000], [0.000, 0.000, 11.590]], "species": ["Dy", "Dy", "Np", "Np", "Np", "Np", "Rh", "Rh", "N", "N", "N", "N", "N", "N", "N", "N"], "fractional_positions": [[0.110, 0.890, 0.750], [0.890, 0.110, 0.250], [0.372, 0.628, 0.557], [0.372, 0.628, 0.943], [0.628, 0.372, 0.057], [0.628, 0.372, 0.443], [0.153, 0.847, 0.250], [0.847, 0.153, 0.750], [0.000, 0.000, 0.000], [0.000, 0.000, 0.500], [0.270, 0.730, 0.104], [0.270, 0.730, 0.396], [0.465, 0.535, 0.750], [0.535, 0.465, 0.250], [0.730, 0.270, 0.604], [0.730, 0.270, 0.896]]}

***

18.
{"formula": "NdTm2S", "functional": "GGA-PBE", "state": "optimized geometry", "space_group": "R-3m, No. 166", "formation_energy_uncorrected_ev_per_atom": -0.74, "cell": [[1.804, 1.042, 10.114], [-1.804, 1.042, 10.114], [0.000, -2.083, 10.114]], "species": ["Nd", "Tm", "Tm", "S"], "fractional_positions": [[0.000, 0.000, 0.000], [0.113, 0.113, 0.113], [0.887, 0.887, 0.887], [0.500, 0.500, 0.500]]}

***

19.
{"formula": "DyScBePd", "functional": "GGA-PBE", "state": "optimized geometry", "space_group": "F-43m, No. 216", "total_energy_ev_per_atom": -5.32, "cell": [[0.000, 3.377, 3.377], [3.377, 0.000, 3.377], [3.377, 3.377, 0.000]], "species": ["Dy", "Sc", "Be", "Pd"], "fractional_positions": [[0.000, 0.000, 0.000], [0.500, 0.500, 0.500], [0.750, 0.750, 0.750], [0.250, 0.250, 0.250]]}

***

20.
{"formula": "TiVGa3", "functional": "GGA-PBE", "state": "optimized geometry", "space_group": "Pmmn, No. 59", "total_energy_ev_per_atom": -5.31, "cell": [[3.899, 0.000, 0.000], [0.000, 6.076, 0.000], [0.000, 0.000, 6.805]], "species": ["Ti", "Ti", "V", "V", "Ga", "Ga", "Ga", "Ga", "Ga", "Ga"], "fractional_positions": [[0.250, 0.250, 0.249], [0.750, 0.750, 0.751], [0.250, 0.750, 0.045], [0.750, 0.250, 0.955], [0.250, 0.042, 0.773], [0.250, 0.458, 0.773], [0.250, 0.750, 0.446], [0.750, 0.250, 0.554], [0.750, 0.542, 0.227], [0.750, 0.958, 0.227]]}